Material: Be2AlAu
Method: DFT, PBE
State: relaxed

Summary:
ρ in g/cm³: 7.9
Calculated total energy in eV per atom: -3.611
Total magnetic moment in μB per cell: 0.0
D(E_F) in states/eV/atom: 0.193
Formation enthalpy at 0 K in meV per atom: 7
SG: Pmm2 (25)

Unit cell a=2.8900 b=3.9927 c=4.3830 alpha=90.00 beta=90.00 gamma=90.00
With the nearest neighbours (Å) after each atom.
Fractional positions:
Be 0.0000 0.0000 0.0000  2 Be 2.41, 2 Au 2.53, 4 Al 2.54
Be 0.0000 0.5000 0.3078  2 Be 2.41, 2 Al 2.45, 4 Au 2.57
Al 0.5000 0.5000 0.8572  6 Be 2.45-2.54, 2 Au 2.61
Au 0.5000 0.0000 0.4740  8 Be 2.53-2.72, 2 Al 2.61

***

Material: Be3Al2Au8
Method: DFT, PBE
State: relaxed

Summary:
ρ in g/cm³: 12.8
Calculated total energy in eV per atom: -3.641
Total magnetic moment in μB per cell: 0.0
D(E_F) in states/eV/atom: 0.305
Formation enthalpy at 0 K in meV per atom: -189
SG: P2/m (10)

Unit cell a=7.3585 b=4.1854 c=7.5557 alpha=90.00 beta=112.75 gamma=90.00
With the nearest neighbours (Å) after each atom.
Fractional positions:
Be 0.0000 0.0000 0.0000  8 Au 2.50-2.57
Be 0.2566 0.5000 0.2392  8 Au 2.46-2.64
Be 0.7434 0.5000 0.7608  8 Au 2.46-2.64
Al 0.2305 0.0000 0.7268  8 Au 2.63-2.70
Al 0.7695 0.0000 0.2732  8 Au 2.63-2.70
Au 0.1140 0.5000 0.8747  4 Be 2.52-2.57, 2 Al 2.67
Au 0.1569 0.0000 0.3577  3 Be 2.50, 2 Al 2.63-2.67
Au 0.3771 0.0000 0.1148  3 Be 2.57-2.59, 2 Al 2.66-2.70
Au 0.3814 0.5000 0.6167  2 Be 2.46-2.64, 2 Al 2.65
Au 0.6186 0.5000 0.3833  2 Be 2.46-2.64, 2 Al 2.65
Au 0.6229 0.0000 0.8852  3 Be 2.57-2.59, 2 Al 2.66-2.70
Au 0.8431 0.0000 0.6423  3 Be 2.50, 2 Al 2.63-2.67
Au 0.8860 0.5000 0.1253  4 Be 2.52-2.57, 2 Al 2.67

***

Material: BeAlAu2
Method: DFT, PBE
State: relaxed

Summary:
ρ in g/cm³: 9.9
Calculated total energy in eV per atom: -3.446
Total magnetic moment in μB per cell: 0.0
D(E_F) in states/eV/atom: 0.389
Formation enthalpy at 0 K in meV per atom: 60
SG: I-42d (122)

Unit cell a=8.4607 b=8.4607 c=8.4607 alpha=150.83 beta=150.83 gamma=41.73
With the nearest neighbours (Å) after each atom.
Fractional positions:
Be 0.0000 0.0000 0.0000  4 Au 2.44
Be 0.7500 0.2500 0.5000  4 Au 2.44
Al 0.2500 0.7500 0.5000  4 Au 2.54
Al 0.5000 0.5000 0.0000  4 Au 2.54
Au 0.0983 0.6250 0.9733  2 Be 2.44, 2 Al 2.54
Au 0.3750 0.3483 0.4733  2 Be 2.44, 2 Al 2.54
Au 0.6517 0.1250 0.0267  2 Be 2.44, 2 Al 2.54
Au 0.8750 0.9017 0.5267  2 Be 2.44, 2 Al 2.54

***

Material: Be2AlAu8
Method: DFT, PBE
State: relaxed

Summary:
ρ in g/cm³: 14.9
Calculated total energy in eV per atom: -3.545
Total magnetic moment in μB per cell: 0.0
D(E_F) in states/eV/atom: 0.217
Excess energy over the best structure of this formula in the dataset in eV per atom: 0.0000
Formation enthalpy at 0 K in meV per atom: -144
SG: C2/m (12)

Unit cell a=8.2831 b=8.2831 c=6.3562 alpha=108.13 beta=108.13 gamma=25.90
With the nearest neighbours (Å) after each atom.
Fractional positions:
Be 0.1888 0.1888 0.1989  9 Au 2.48-2.60
Be 0.8112 0.8112 0.8011  9 Au 2.48-2.60
Al 0.5000 0.5000 0.5000  8 Au 2.62-2.93
Au 0.0409 0.0409 0.2594  1 Be 2.54, 2 Al 2.62
Au 0.2054 0.2054 0.8247  3 Be 2.48-2.56
Au 0.3239 0.3239 0.5367  3 Be 2.53-2.56
Au 0.4059 0.4059 0.0503  2 Be 2.60, 1 Al 2.78, 4 Au 2.85-2.87
Au 0.5941 0.5941 0.9497  2 Be 2.60, 1 Al 2.78, 4 Au 2.85-2.87
Au 0.6761 0.6761 0.4633  3 Be 2.53-2.56
Au 0.7946 0.7946 0.1753  3 Be 2.48-2.56
Au 0.9591 0.9591 0.7406  1 Be 2.54, 2 Al 2.62

***

Material: Be2AlAu
Method: DFT, PBE
State: relaxed

Summary:
ρ in g/cm³: 7.8
Calculated total energy in eV per atom: -3.561
Total magnetic moment in μB per cell: 0.0
D(E_F) in states/eV/atom: 0.315
Formation enthalpy at 0 K in meV per atom: 57
SG: C2/m (12)

Unit cell a=4.2460 b=4.2460 c=2.9606 alpha=90.09 beta=90.09 gamma=105.41
With the nearest neighbours (Å) after each atom.
Fractional positions:
Be 0.0000 0.5000 0.0000  2 Be 2.57, 4 Al 2.59, 4 Au 2.59
Be 0.5000 0.0000 0.0000  2 Be 2.57, 4 Al 2.59, 4 Au 2.59
Al 0.0000 0.0000 0.5000  2 Au 2.57, 8 Be 2.59
Au 0.5000 0.5000 0.5000  2 Al 2.57, 8 Be 2.59

***

Material: BeAl2Au2
Method: DFT, PBE
State: relaxed

Summary:
ρ in g/cm³: 9.2
Calculated total energy in eV per atom: -3.478
Total magnetic moment in μB per cell: 0.0
D(E_F) in states/eV/atom: 0.413
Excess energy over the best structure of this formula in the dataset in eV per atom: 0.1656
Formation enthalpy at 0 K in meV per atom: 75
SG: P4/mbm (127)

Unit cell a=6.5902 b=6.5902 c=3.8030 alpha=90.00 beta=90.00 gamma=90.00
With the nearest neighbours (Å) after each atom.
Fractional positions:
Be 0.0000 0.0000 0.0000  4 Al 2.51
Be 0.5000 0.5000 0.0000  4 Al 2.51
Al 0.1506 0.3494 0.0000  2 Be 2.51, 6 Au 2.61-2.78, 1 Al 2.81
Al 0.3494 0.8494 0.0000  2 Be 2.51, 6 Au 2.61-2.78, 1 Al 2.81
Al 0.6506 0.1506 0.0000  2 Be 2.51, 6 Au 2.61-2.78, 1 Al 2.81
Al 0.8494 0.6506 0.0000  2 Be 2.51, 6 Au 2.61-2.78, 1 Al 2.81
Au 0.1570 0.6570 0.5000  6 Al 2.61-2.78, 1 Au 2.93
Au 0.3430 0.1570 0.5000  6 Al 2.61-2.78, 1 Au 2.93
Au 0.6570 0.8430 0.5000  6 Al 2.61-2.78, 1 Au 2.93
Au 0.8430 0.3430 0.5000  6 Al 2.61-2.78, 1 Au 2.93

***

Material: BeAlAu4
Method: DFT, PBE
State: relaxed

Summary:
ρ in g/cm³: 14.2
Calculated total energy in eV per atom: -3.637
Total magnetic moment in μB per cell: 0.0
D(E_F) in states/eV/atom: 0.295
Excess energy over the best structure of this formula in the dataset in eV per atom: 0.0000
Formation enthalpy at 0 K in meV per atom: -208
SG: C2/c (15)

Unit cell a=6.6904 b=6.6904 c=4.9804 alpha=101.05 beta=101.05 gamma=112.62
With the nearest neighbours (Å) after each atom.
Fractional positions:
Be 0.0025 0.9975 0.7500  8 Au 2.47-2.59, 2 Be 2.49
Be 0.9975 0.0025 0.2500  8 Au 2.47-2.59, 2 Be 2.49
Al 0.3781 0.6219 0.7500  10 Au 2.68-2.90
Al 0.6219 0.3781 0.2500  10 Au 2.68-2.90
Au 0.0675 0.7093 0.4352  2 Be 2.47-2.48, 1 Al 2.68
Au 0.2140 0.3797 0.1447  2 Be 2.57-2.59, 1 Al 2.68, 1 Au 2.83
Au 0.2907 0.9325 0.0648  2 Be 2.47-2.48, 1 Al 2.68
Au 0.3797 0.2140 0.6447  2 Be 2.57-2.59, 1 Al 2.68, 1 Au 2.83
Au 0.6203 0.7860 0.3553  2 Be 2.57-2.59, 1 Al 2.68, 1 Au 2.83
Au 0.7093 0.0675 0.9352  2 Be 2.47-2.48, 1 Al 2.68
Au 0.7860 0.6203 0.8553  2 Be 2.57-2.59, 1 Al 2.68, 1 Au 2.83
Au 0.9325 0.2907 0.5648  2 Be 2.47-2.48, 1 Al 2.68

***

Material: BeAl2Au
Method: DFT, PBE
State: relaxed

Summary:
ρ in g/cm³: 7.2
Calculated total energy in eV per atom: -3.672
Total magnetic moment in μB per cell: 0.0
D(E_F) in states/eV/atom: 0.213
Formation enthalpy at 0 K in meV per atom: -49
SG: C2/m (12)

Unit cell a=4.4830 b=4.4830 c=4.6147 alpha=97.79 beta=97.79 gamma=40.97
With the nearest neighbours (Å) after each atom.
Fractional positions:
Be 0.0000 0.0000 0.0000  6 Al 2.50-2.72, 4 Au 2.79
Al 0.2500 0.2500 0.7650  3 Be 2.50-2.72, 3 Au 2.58-2.76, 2 Al 2.68
Al 0.7500 0.7500 0.2350  3 Be 2.50-2.72, 3 Au 2.58-2.76, 2 Al 2.68
Au 0.5000 0.5000 0.5000  6 Al 2.58-2.76, 4 Be 2.79

***

Material: Be2Al2Au
Method: DFT, PBE
State: relaxed

Summary:
ρ in g/cm³: 6.6
Calculated total energy in eV per atom: -3.656
Total magnetic moment in μB per cell: 0.0
D(E_F) in states/eV/atom: 0.333
Formation enthalpy at 0 K in meV per atom: -13
SG: P4/mbm (127)

Unit cell a=6.0624 b=6.0624 c=3.6613 alpha=90.00 beta=90.00 gamma=90.00
With the nearest neighbours (Å) after each atom.
Fractional positions:
Be 0.1248 0.3752 0.0000  1 Be 2.14, 2 Au 2.40
Be 0.3752 0.8752 0.0000  1 Be 2.14, 2 Au 2.40
Be 0.6248 0.1248 0.0000  1 Be 2.14, 2 Au 2.40
Be 0.8752 0.6248 0.0000  1 Be 2.14, 2 Au 2.40
Al 0.1617 0.6617 0.5000  6 Be 2.53-2.59, 1 Al 2.77
Al 0.3383 0.1617 0.5000  6 Be 2.53-2.59, 1 Al 2.77
Al 0.6617 0.8383 0.5000  6 Be 2.53-2.59, 1 Al 2.77
Al 0.8383 0.3383 0.5000  6 Be 2.53-2.59, 1 Al 2.77
Au 0.0000 0.0000 0.0000  4 Be 2.40
Au 0.5000 0.5000 0.0000  4 Be 2.40

***

Material: BeAl2Au6
Method: DFT, PBE
State: relaxed

Summary:
ρ in g/cm³: 13.2
Calculated total energy in eV per atom: -3.635
Total magnetic moment in μB per cell: 0.0
D(E_F) in states/eV/atom: 0.324
Excess energy over the best structure of this formula in the dataset in eV per atom: 0.0119
Formation enthalpy at 0 K in meV per atom: -204
SG: C2/m (12)

Unit cell a=6.2114 b=6.2114 c=7.5964 alpha=123.48 beta=123.48 gamma=41.44
With the nearest neighbours (Å) after each atom.
Fractional positions:
Be 0.0000 0.0000 0.0000  8 Au 2.49-2.61
Al 0.1250 0.1250 0.4815  7 Au 2.57-2.74
Al 0.8750 0.8750 0.5185  7 Au 2.57-2.74
Au 0.1398 0.1398 0.8444  1 Be 2.51, 2 Al 2.57-2.66
Au 0.2607 0.2607 0.2943  1 Be 2.49, 3 Al 2.61-2.67
Au 0.4426 0.4426 0.7773  2 Be 2.61, 2 Al 2.74, 1 Au 2.81
Au 0.5574 0.5574 0.2227  2 Be 2.61, 2 Al 2.74, 1 Au 2.81
Au 0.7393 0.7393 0.7057  1 Be 2.49, 3 Al 2.61-2.67
Au 0.8602 0.8602 0.1556  1 Be 2.51, 2 Al 2.57-2.66

***

Material: BeAlAu2
Method: DFT, PBE
State: relaxed

Summary:
ρ in g/cm³: 11.5
Calculated total energy in eV per atom: -3.579
Total magnetic moment in μB per cell: 0.0
D(E_F) in states/eV/atom: 0.494
Formation enthalpy at 0 K in meV per atom: -73
SG: R-3m (166)

Unit cell a=7.8998 b=7.8998 c=7.8998 alpha=22.31 beta=22.31 gamma=22.31
With the nearest neighbours (Å) after each atom.
Fractional positions:
Be 0.0000 0.0000 0.0000  6 Au 2.48
Al 0.5000 0.5000 0.5000  6 Au 2.75, 6 Al 3.06
Au 0.2577 0.2577 0.2577  3 Be 2.48, 3 Al 2.75
Au 0.7423 0.7423 0.7423  3 Be 2.48, 3 Al 2.75

***

Material: Be3AlAu6
Method: DFT, PBE
State: relaxed

Summary:
ρ in g/cm³: 13.4
Calculated total energy in eV per atom: -3.593
Total magnetic moment in μB per cell: 0.0
D(E_F) in states/eV/atom: 0.248
Formation enthalpy at 0 K in meV per atom: -134
SG: P2_1/m (11)

Unit cell a=9.6054 b=3.3327 c=9.9926 alpha=90.00 beta=106.17 gamma=90.00
With the nearest neighbours (Å) after each atom.
Fractional positions:
Be 0.0761 0.2500 0.0768  5 Au 2.36-2.44, 2 Be 2.45
Be 0.3162 0.7500 0.4865  7 Au 2.34-2.49
Be 0.4217 0.2500 0.8967  5 Au 2.36-2.53
Be 0.5783 0.7500 0.1033  5 Au 2.36-2.53
Be 0.6838 0.2500 0.5135  7 Au 2.34-2.49
Be 0.9239 0.7500 0.9232  5 Au 2.36-2.44, 2 Be 2.45
Al 0.0682 0.2500 0.7358  8 Au 2.59-2.87
Al 0.9318 0.7500 0.2642  8 Au 2.59-2.87
Au 0.1194 0.2500 0.4709  2 Be 2.49
Au 0.1763 0.7500 0.9555  3 Be 2.36-2.41
Au 0.1961 0.7500 0.2480  3 Be 2.34-2.44, 1 Al 2.59
Au 0.2823 0.7500 0.7189  3 Be 2.43-2.53, 2 Al 2.69
Au 0.4090 0.2500 0.1291  3 Be 2.36-2.39
Au 0.4866 0.2500 0.6147  3 Be 2.38-2.43
Au 0.5134 0.7500 0.3853  3 Be 2.38-2.43
Au 0.5910 0.7500 0.8709  3 Be 2.36-2.39
Au 0.7177 0.2500 0.2811  3 Be 2.43-2.53, 2 Al 2.69
Au 0.8039 0.2500 0.7520  3 Be 2.34-2.44, 1 Al 2.59
Au 0.8237 0.2500 0.0445  3 Be 2.36-2.41
Au 0.8806 0.7500 0.5291  2 Be 2.49